(1)
Compound: Li2VSi6O15
Source: the Alexandria database
Functional: SCAN
Structure: PBEsol geometry

Output
Total magnetization in μB/f.u.: 1.0
ΔE_f (raw) in eV/atom: -2.90
Crystal system: orthorhombic

Lattice parameters (Å, degrees): 11.0025 11.0025 9.9425 90.00 90.00 99.64
Last column: nearest neighbours and their distance in Å.
Fractional coordinates of all 96 atoms:
Li (0.0136, 0.4864, 0.2500)  2 O 1.93
Li (0.2436, 0.2436, 0.0000)  4 O 1.97-1.98
Li (0.2564, 0.2564, 0.5000)  4 O 1.97-1.98
Li (0.4864, 0.0136, 0.7500)  2 O 1.93
Li (0.5136, 0.9864, 0.2500)  2 O 1.93
Li (0.7436, 0.7436, 0.5000)  4 O 1.97-1.98
Li (0.7564, 0.7564, 0.0000)  4 O 1.97-1.98
Li (0.9864, 0.5136, 0.7500)  2 O 1.93
V (0.1599, 0.3401, 0.7500)  6 O 1.91-1.94
V (0.3401, 0.1599, 0.2500)  6 O 1.91-1.94
V (0.6599, 0.8401, 0.7500)  6 O 1.91-1.94
V (0.8401, 0.6599, 0.2500)  6 O 1.91-1.94
Si (0.0206, 0.7607, 0.5102)  4 O 1.61-1.65
Si (0.0450, 0.1796, 0.1964)  4 O 1.61-1.64
Si (0.0769, 0.7050, 0.0472)  4 O 1.61-1.63
Si (0.1796, 0.0450, 0.8036)  4 O 1.61-1.64
Si (0.2050, 0.5769, 0.5472)  4 O 1.61-1.63
Si (0.2393, 0.9794, 0.5102)  4 O 1.61-1.65
Si (0.2607, 0.5206, 0.0102)  4 O 1.61-1.65
Si (0.2950, 0.9231, 0.0472)  4 O 1.61-1.63
Si (0.3204, 0.4550, 0.3036)  4 O 1.61-1.64
Si (0.4231, 0.7950, 0.5472)  4 O 1.61-1.63
Si (0.4550, 0.3204, 0.6964)  4 O 1.61-1.64
Si (0.4794, 0.7393, 0.0102)  4 O 1.61-1.65
Si (0.5206, 0.2607, 0.9898)  4 O 1.61-1.65
Si (0.5450, 0.6796, 0.3036)  4 O 1.61-1.64
Si (0.5769, 0.2050, 0.4528)  4 O 1.61-1.63
Si (0.6796, 0.5450, 0.6964)  4 O 1.61-1.64
Si (0.7050, 0.0769, 0.9528)  4 O 1.61-1.63
Si (0.7393, 0.4794, 0.9898)  4 O 1.61-1.65
Si (0.7607, 0.0206, 0.4898)  4 O 1.61-1.65
Si (0.7950, 0.4231, 0.4528)  4 O 1.61-1.63
Si (0.8204, 0.9550, 0.1964)  4 O 1.61-1.64
Si (0.9231, 0.2950, 0.9528)  4 O 1.61-1.63
Si (0.9550, 0.8204, 0.8036)  4 O 1.61-1.64
Si (0.9794, 0.2393, 0.4898)  4 O 1.61-1.65
O (0.9999, 0.3546, 0.8239)  1 Si 1.61
O (0.0001, 0.6454, 0.1761)  1 Si 1.61
O (0.0128, 0.2698, 0.0760)  2 Si 1.63
O (0.0309, 0.2578, 0.3342)  2 Si 1.64-1.65
O (0.0516, 0.9484, 0.8022)  2 Si 1.62
O (0.0955, 0.2568, 0.5900)  1 Si 1.61
O (0.1033, 0.8967, 0.4948)  2 Si 1.62
O (0.1043, 0.6546, 0.4843)  2 Si 1.62-1.63
O (0.1454, 0.5001, 0.6761)  1 Si 1.61
O (0.1546, 0.6043, 0.9843)  2 Si 1.62-1.63
O (0.1575, 0.1833, 0.8328)  1 Si 1.61
O (0.1695, 0.8305, 0.0882)  2 Si 1.62
O (0.1833, 0.1575, 0.1672)  1 Si 1.61
O (0.2302, 0.4872, 0.4240)  2 Si 1.63
O (0.2422, 0.4691, 0.1658)  2 Si 1.64-1.65
O (0.2432, 0.4045, 0.9100)  1 Si 1.61
O (0.2568, 0.0955, 0.4100)  1 Si 1.61
O (0.2578, 0.0309, 0.6658)  2 Si 1.64-1.65
O (0.2698, 0.0128, 0.9240)  2 Si 1.63
O (0.3167, 0.3425, 0.6672)  1 Si 1.61
O (0.3305, 0.6695, 0.5882)  2 Si 1.62
O (0.3425, 0.3167, 0.3328)  1 Si 1.61
O (0.3454, 0.8957, 0.4843)  2 Si 1.62-1.63
O (0.3546, 0.9999, 0.1761)  1 Si 1.61
O (0.3957, 0.8454, 0.9843)  2 Si 1.62-1.63
O (0.3967, 0.6033, 0.9948)  2 Si 1.62
O (0.4045, 0.2432, 0.0900)  1 Si 1.61
O (0.4484, 0.5516, 0.3022)  2 Si 1.62
O (0.4691, 0.2422, 0.8342)  2 Si 1.64-1.65
O (0.4872, 0.2302, 0.5760)  2 Si 1.63
O (0.5001, 0.1454, 0.3239)  1 Si 1.61
O (0.4999, 0.8546, 0.6761)  1 Si 1.61
O (0.5128, 0.7698, 0.4240)  2 Si 1.63
O (0.5309, 0.7578, 0.1658)  2 Si 1.64-1.65
O (0.5516, 0.4484, 0.6978)  2 Si 1.62
O (0.5955, 0.7568, 0.9100)  1 Si 1.61
O (0.6033, 0.3967, 0.0052)  2 Si 1.62
O (0.6043, 0.1546, 0.0157)  2 Si 1.62-1.63
O (0.6454, 0.0001, 0.8239)  1 Si 1.61
O (0.6546, 0.1043, 0.5157)  2 Si 1.62-1.63
O (0.6575, 0.6833, 0.6672)  1 Si 1.61
O (0.6695, 0.3305, 0.4118)  2 Si 1.62
O (0.6833, 0.6575, 0.3328)  1 Si 1.61
O (0.7302, 0.9872, 0.0760)  2 Si 1.63
O (0.7422, 0.9691, 0.3342)  2 Si 1.64-1.65
O (0.7432, 0.9045, 0.5900)  1 Si 1.61
O (0.7568, 0.5955, 0.0900)  1 Si 1.61
O (0.7578, 0.5309, 0.8342)  2 Si 1.64-1.65
O (0.7698, 0.5128, 0.5760)  2 Si 1.63
O (0.8167, 0.8425, 0.8328)  1 Si 1.61
O (0.8305, 0.1695, 0.9118)  2 Si 1.62
O (0.8425, 0.8167, 0.1672)  1 Si 1.61
O (0.8454, 0.3957, 0.0157)  2 Si 1.62-1.63
O (0.8546, 0.4999, 0.3239)  1 Si 1.61
O (0.8957, 0.3454, 0.5157)  2 Si 1.62-1.63
O (0.8967, 0.1033, 0.5052)  2 Si 1.62
O (0.9045, 0.7432, 0.4100)  1 Si 1.61
O (0.9484, 0.0516, 0.1978)  2 Si 1.62
O (0.9691, 0.7422, 0.6658)  2 Si 1.64-1.65
O (0.9872, 0.7302, 0.9240)  2 Si 1.63


(2)
Compound: Li2VSi6O15
Source: the Alexandria database
Functional: SCAN
Structure: PBEsol geometry

Output
Total magnetization in μB/f.u.: 1.0
ΔE_f (raw) in eV/atom: -2.86
Crystal system: triclinic

Lattice parameters (Å, degrees): 6.9520 7.0627 7.3239 91.07 113.93 113.54
Last column: nearest neighbours and their distance in Å.
Fractional coordinates of all 24 atoms:
Li (0.2281, 0.2842, 0.4167)  3 O 1.91-2.13
Li (0.7719, 0.7158, 0.5833)  3 O 1.91-2.13
V (0.0000, 0.5000, 0.5000)  6 O 1.81-2.01
Si (0.1116, 0.3058, 0.9043)  4 O 1.61-1.64
Si (0.2866, 0.0025, 0.7974)  4 O 1.60-1.67
Si (0.3282, 0.6573, 0.2690)  4 O 1.61-1.65
Si (0.6718, 0.3427, 0.7310)  4 O 1.61-1.65
Si (0.7134, 0.9975, 0.2026)  4 O 1.60-1.67
Si (0.8884, 0.6942, 0.0957)  4 O 1.61-1.64
O (0.0889, 0.7827, 0.6414)  1 Si 1.60
O (0.1432, 0.0950, 0.8736)  2 Si 1.61-1.64
O (0.1573, 0.7582, 0.1327)  2 Si 1.63-1.64
O (0.1591, 0.4486, 0.7440)  1 Si 1.61
O (0.2841, 0.4373, 0.1404)  2 Si 1.63-1.65
O (0.2955, 0.5927, 0.4672)  1 Si 1.61
O (0.3998, 0.1690, 0.6685)  2 Si 1.65-1.67
O (0.5000, 0.0000, 0.0000)  2 Si 1.62
O (0.6002, 0.8310, 0.3315)  2 Si 1.65-1.67
O (0.7045, 0.4073, 0.5328)  1 Si 1.61
O (0.7159, 0.5627, 0.8596)  2 Si 1.63-1.65
O (0.8409, 0.5514, 0.2560)  1 Si 1.61
O (0.8427, 0.2418, 0.8673)  2 Si 1.63-1.64
O (0.8568, 0.9050, 0.1264)  2 Si 1.61-1.64
O (0.9111, 0.2173, 0.3586)  1 Si 1.60


(3)
Compound: Li2VSi2O6
Source: the Alexandria database
Functional: SCAN
Structure: PBEsol geometry

Output
Total magnetization in μB/f.u.: 3.0
ΔE_f (raw) in eV/atom: -2.69
Crystal system: orthorhombic

Lattice parameters (Å, degrees): 10.0824 7.0716 9.6703 90.00 90.00 90.00
Last column: nearest neighbours and their distance in Å.
Fractional coordinates of all 66 atoms:
Li (0.0000, 0.2016, 0.0000)  2 O 1.80-1.84
Li (0.0000, 0.2588, 0.4987)  4 O 2.07-2.09
Li (0.2282, 0.7067, 0.2216)  4 O 2.02-2.18
Li (0.2304, 0.7924, 0.7855)  4 O 2.00-2.21
Li (0.2696, 0.2076, 0.2855)  4 O 2.00-2.21
Li (0.2718, 0.2933, 0.7216)  4 O 2.02-2.18
Li (0.5000, 0.7412, 0.9987)  4 O 2.07-2.09
Li (0.5000, 0.7984, 0.5000)  2 O 1.80-1.84
Li (0.7282, 0.2933, 0.7216)  4 O 2.02-2.18
Li (0.7304, 0.2076, 0.2855)  4 O 2.00-2.21
Li (0.7696, 0.7924, 0.7855)  4 O 2.00-2.21
Li (0.7718, 0.7067, 0.2216)  4 O 2.02-2.18
V (0.0000, 0.0184, 0.7720)  6 O 2.10-2.27
V (0.0000, 0.4800, 0.2280)  6 O 2.08-2.27
V (0.0000, 0.7525, 0.0040)  6 O 2.04-2.20
V (0.5000, 0.2475, 0.5040)  6 O 2.04-2.20
V (0.5000, 0.5200, 0.7280)  6 O 2.08-2.27
V (0.5000, 0.9816, 0.2720)  6 O 2.10-2.27
Si (0.0000, 0.0141, 0.2901)  4 O 1.61-1.67
Si (0.0000, 0.4829, 0.7218)  4 O 1.61-1.66
Si (0.2293, 0.5206, 0.4974)  4 O 1.61-1.65
Si (0.2294, 0.9753, 0.5123)  4 O 1.61-1.65
Si (0.2706, 0.0247, 0.0123)  4 O 1.61-1.65
Si (0.2707, 0.4794, 0.9974)  4 O 1.61-1.65
Si (0.5000, 0.5171, 0.2218)  4 O 1.61-1.66
Si (0.5000, 0.9859, 0.7901)  4 O 1.61-1.67
Si (0.7294, 0.0247, 0.0123)  4 O 1.61-1.65
Si (0.7293, 0.4794, 0.9974)  4 O 1.61-1.65
Si (0.7707, 0.5206, 0.4974)  4 O 1.61-1.65
Si (0.7706, 0.9753, 0.5123)  4 O 1.61-1.65
O (0.0000, 0.1913, 0.1863)  1 Si 1.61
O (0.0000, 0.3057, 0.8257)  1 Si 1.61
O (0.0000, 0.6980, 0.7813)  1 Si 1.63
O (0.0000, 0.8013, 0.2288)  1 Si 1.62
O (0.1221, 0.4360, 0.6111)  2 Si 1.65-1.66
O (0.1228, 0.0626, 0.3997)  2 Si 1.65-1.67
O (0.1292, 0.9637, 0.9454)  1 Si 1.62
O (0.1322, 0.5497, 0.0645)  1 Si 1.62
O (0.1890, 0.4540, 0.3432)  1 Si 1.62
O (0.1914, 0.0430, 0.6667)  1 Si 1.61
O (0.2175, 0.7480, 0.5061)  2 Si 1.61
O (0.2825, 0.2520, 0.0061)  2 Si 1.61
O (0.3086, 0.9570, 0.1667)  1 Si 1.61
O (0.3110, 0.5460, 0.8432)  1 Si 1.62
O (0.3678, 0.4503, 0.5645)  1 Si 1.62
O (0.3708, 0.0363, 0.4454)  1 Si 1.62
O (0.3772, 0.9374, 0.8997)  2 Si 1.65-1.67
O (0.3779, 0.5640, 0.1111)  2 Si 1.65-1.66
O (0.5000, 0.1987, 0.7288)  1 Si 1.62
O (0.5000, 0.3020, 0.2813)  1 Si 1.63
O (0.5000, 0.6943, 0.3257)  1 Si 1.61
O (0.5000, 0.8087, 0.6863)  1 Si 1.61
O (0.6221, 0.5640, 0.1111)  2 Si 1.65-1.66
O (0.6228, 0.9374, 0.8997)  2 Si 1.65-1.67
O (0.6292, 0.0363, 0.4454)  1 Si 1.62
O (0.6322, 0.4503, 0.5645)  1 Si 1.62
O (0.6890, 0.5460, 0.8432)  1 Si 1.62
O (0.6914, 0.9570, 0.1667)  1 Si 1.61
O (0.7175, 0.2520, 0.0061)  2 Si 1.61
O (0.7825, 0.7480, 0.5061)  2 Si 1.61
O (0.8086, 0.0430, 0.6667)  1 Si 1.61
O (0.8110, 0.4540, 0.3432)  1 Si 1.62
O (0.8678, 0.5497, 0.0645)  1 Si 1.62
O (0.8708, 0.9637, 0.9454)  1 Si 1.62
O (0.8772, 0.0626, 0.3997)  2 Si 1.65-1.67
O (0.8779, 0.4360, 0.6111)  2 Si 1.65-1.66


(4)
Compound: Li2VSi2O7
Source: the Alexandria database
Functional: SCAN
Structure: PBEsol geometry

Output
Total magnetization in μB/f.u.: 1.0
ΔE_f (raw) in eV/atom: -2.75
Crystal system: triclinic

Lattice parameters (Å, degrees): 5.1450 5.9444 8.5623 71.24 86.33 85.60
Last column: nearest neighbours and their distance in Å.
Fractional coordinates of all 24 atoms:
Li (0.1924, 0.3167, 0.0194)  4 O 2.02-2.18
Li (0.2998, 0.4352, 0.6499)  4 O 1.96-2.10
Li (0.7002, 0.5648, 0.3501)  4 O 1.96-2.10
Li (0.8076, 0.6833, 0.9806)  4 O 2.02-2.18
V (0.2389, 0.9225, 0.7769)  4 O 1.81-1.96
V (0.7611, 0.0775, 0.2231)  4 O 1.81-1.96
Si (0.2102, 0.2862, 0.3735)  4 O 1.61-1.67
Si (0.3051, 0.7723, 0.1523)  4 O 1.63-1.68
Si (0.6949, 0.2277, 0.8477)  4 O 1.63-1.68
Si (0.7898, 0.7138, 0.6265)  4 O 1.61-1.67
O (0.0805, 0.6934, 0.6960)  1 Si 1.63
O (0.0869, 0.9806, 0.1634)  1 Si 1.63
O (0.2284, 0.6696, 0.0066)  1 Si 1.64
O (0.2340, 0.1696, 0.5697)  1 Si 1.61
O (0.2927, 0.5642, 0.3393)  2 Si 1.67-1.68
O (0.3879, 0.1658, 0.8627)  1 Si 1.64
O (0.4330, 0.1875, 0.2627)  1 Si 1.64, 1 V 1.81
O (0.5670, 0.8125, 0.7373)  1 Si 1.64, 1 V 1.81
O (0.6121, 0.8342, 0.1373)  1 Si 1.64
O (0.7073, 0.4358, 0.6607)  2 Si 1.67-1.68
O (0.7660, 0.8304, 0.4303)  1 Si 1.61
O (0.7716, 0.3304, 0.9934)  1 Si 1.64
O (0.9131, 0.0194, 0.8366)  1 Si 1.63
O (0.9195, 0.3066, 0.3040)  1 Si 1.63


(5)
Compound: LiV2Si2O8
Source: the Alexandria database
Functional: SCAN
Structure: PBEsol geometry

Output
Total magnetization in μB/f.u.: 3.0
ΔE_f (raw) in eV/atom: -2.73
Crystal system: monoclinic

Lattice parameters (Å, degrees): 4.7584 10.0037 5.6492 90.00 90.09 90.00
Last column: nearest neighbours and their distance in Å.
Fractional coordinates of all 26 atoms:
Li (0.2498, 0.0000, 0.2492)  6 O 2.04-2.22
Li (0.7502, 0.5000, 0.7508)  6 O 2.04-2.22
V (0.2468, 0.7334, 0.9924)  6 O 1.90-2.04
V (0.2532, 0.2656, 0.5077)  6 O 1.90-2.04
V (0.7468, 0.7656, 0.4923)  6 O 1.90-2.04
V (0.7532, 0.2334, 0.0076)  6 O 1.90-2.04
Si (0.1964, 0.4059, 0.0073)  4 O 1.61-1.68
Si (0.3037, 0.5930, 0.4927)  4 O 1.61-1.68
Si (0.6963, 0.0930, 0.5073)  4 O 1.61-1.68
Si (0.8036, 0.9059, 0.9927)  4 O 1.61-1.68
O (0.0305, 0.3251, 0.7865)  1 Si 1.68
O (0.0328, 0.1071, 0.4958)  1 Si 1.61
O (0.0405, 0.3171, 0.2198)  1 Si 1.67
O (0.0872, 0.5591, 0.9977)  1 Si 1.62
O (0.4127, 0.4397, 0.5022)  1 Si 1.62
O (0.4595, 0.6818, 0.2802)  1 Si 1.67
O (0.4670, 0.8919, 0.0041)  1 Si 1.61
O (0.4697, 0.6737, 0.7136)  1 Si 1.68
O (0.5303, 0.1737, 0.2864)  1 Si 1.68
O (0.5330, 0.3919, 0.9959)  1 Si 1.61
O (0.5405, 0.1818, 0.7198)  1 Si 1.67
O (0.5873, 0.9397, 0.4978)  1 Si 1.62
O (0.9128, 0.0591, 0.0023)  1 Si 1.62
O (0.9595, 0.8171, 0.7802)  1 Si 1.67
O (0.9672, 0.6071, 0.5042)  1 Si 1.61
O (0.9695, 0.8251, 0.2135)  1 Si 1.68


(6)
Compound: LiVSiO5
Source: the Alexandria database
Functional: SCAN
Structure: PBEsol geometry

Output
Total magnetization in μB/f.u.: 0.0
ΔE_f (raw) in eV/atom: -2.69
Crystal system: monoclinic

Lattice parameters (Å, degrees): 4.6372 6.1628 6.3481 90.00 94.19 90.00
Last column: nearest neighbours and their distance in Å.
Fractional coordinates of all 16 atoms:
Li (0.0000, 0.0000, 0.0000)  4 O 2.00-2.04
Li (0.0000, 0.5000, 0.0000)  4 O 2.00-2.04
V (0.3969, 0.2500, 0.7485)  2 O 1.61-1.78
V (0.6031, 0.7500, 0.2515)  2 O 1.61-1.78
Si (0.4814, 0.7500, 0.7548)  4 O 1.63-1.64
Si (0.5186, 0.2500, 0.2452)  4 O 1.63-1.64
O (0.2585, 0.7500, 0.1948)  1 V 1.61
O (0.2712, 0.2500, 0.0496)  1 Si 1.63
O (0.2740, 0.5344, 0.7655)  1 Si 1.64
O (0.2740, 0.9656, 0.7655)  1 Si 1.64
O (0.3622, 0.2500, 0.4681)  1 Si 1.64, 1 V 1.78
O (0.6378, 0.7500, 0.5319)  1 Si 1.64, 1 V 1.78
O (0.7260, 0.0344, 0.2345)  1 Si 1.64
O (0.7260, 0.4656, 0.2345)  1 Si 1.64
O (0.7288, 0.7500, 0.9504)  1 Si 1.63
O (0.7415, 0.2500, 0.8052)  1 V 1.61


(7)
Compound: LiV2Si2O8
Source: the Alexandria database
Functional: SCAN
Structure: PBEsol geometry

Output
Total magnetization in μB/f.u.: 3.0
ΔE_f (raw) in eV/atom: -2.75
Crystal system: orthorhombic

Lattice parameters (Å, degrees): 6.1592 4.8130 4.8130 67.37 90.00 90.00
Last column: nearest neighbours and their distance in Å.
Fractional coordinates of all 13 atoms:
Li (0.0000, 0.0000, 0.0000)  4 O 1.89-2.08
V (0.2574, 0.3290, 0.3290)  4 O 1.82-2.00
V (0.7426, 0.3290, 0.3290)  4 O 1.82-2.00
Si (0.0000, 0.6733, 0.6733)  4 O 1.62-1.66
Si (0.5000, 0.9759, 0.9759)  4 O 1.63-1.66
O (0.0000, 0.0458, 0.5528)  1 Si 1.66
O (0.0000, 0.5528, 0.0458)  1 Si 1.66
O (0.2105, 0.5531, 0.5531)  1 Si 1.62
O (0.2831, 0.0925, 0.0925)  1 Si 1.63
O (0.5000, 0.1099, 0.6016)  1 Si 1.66
O (0.5000, 0.6016, 0.1099)  1 Si 1.66
O (0.7169, 0.0925, 0.0925)  1 Si 1.63
O (0.7895, 0.5531, 0.5531)  1 Si 1.62


(8)
Compound: Li2VSi4O11
Source: the Alexandria database
Functional: SCAN
Structure: PBEsol geometry

Output
Total magnetization in μB/f.u.: 1.0
ΔE_f (raw) in eV/atom: -2.83
Crystal system: tetragonal

Lattice parameters (Å, degrees): 8.3108 8.3108 8.3108 102.22 102.22 125.23
Last column: nearest neighbours and their distance in Å.
Fractional coordinates of all 36 atoms:
Li (0.1157, 0.8410, 0.9567)  3 O 2.00-2.05
Li (0.1590, 0.1157, 0.2748)  3 O 2.00-2.05
Li (0.8410, 0.8843, 0.7252)  3 O 2.00-2.05
Li (0.8843, 0.1590, 0.0433)  3 O 2.00-2.05
V (0.2584, 0.2584, 0.0000)  6 O 1.85-1.98
V (0.7416, 0.7416, 0.0000)  6 O 1.85-1.98
Si (0.0016, 0.3293, 0.7212)  4 O 1.61-1.64
Si (0.2804, 0.0016, 0.6723)  4 O 1.61-1.64
Si (0.3293, 0.6081, 0.3277)  4 O 1.61-1.64
Si (0.3919, 0.7196, 0.7212)  4 O 1.61-1.64
Si (0.6081, 0.2804, 0.2788)  4 O 1.61-1.64
Si (0.6707, 0.3919, 0.6723)  4 O 1.61-1.64
Si (0.7196, 0.9984, 0.3277)  4 O 1.61-1.64
Si (0.9984, 0.6707, 0.2788)  4 O 1.61-1.64
O (0.0000, 0.0000, 0.0000)  2 V 1.98, 4 Li 2.05
O (0.0527, 0.2976, 0.9041)  1 Si 1.61
O (0.0911, 0.5418, 0.2665)  2 Si 1.64
O (0.1485, 0.0527, 0.7551)  1 Si 1.61
O (0.1754, 0.9089, 0.4507)  2 Si 1.64
O (0.2122, 0.4658, 0.6780)  2 Si 1.62
O (0.2753, 0.8246, 0.7335)  2 Si 1.64
O (0.2976, 0.3935, 0.2449)  1 Si 1.61
O (0.3935, 0.1485, 0.0959)  1 Si 1.61
O (0.4582, 0.7247, 0.5493)  2 Si 1.64
O (0.4658, 0.7878, 0.2536)  2 Si 1.62
O (0.5000, 0.5000, 0.0000)  2 V 1.85
O (0.5342, 0.2122, 0.7464)  2 Si 1.62
O (0.5418, 0.2753, 0.4507)  2 Si 1.64
O (0.6065, 0.8514, 0.9041)  1 Si 1.61
O (0.7024, 0.6065, 0.7551)  1 Si 1.61
O (0.7247, 0.1754, 0.2665)  2 Si 1.64
O (0.7878, 0.5342, 0.3220)  2 Si 1.62
O (0.8246, 0.0911, 0.5493)  2 Si 1.64
O (0.8514, 0.9473, 0.2449)  1 Si 1.61
O (0.9089, 0.4582, 0.7335)  2 Si 1.64
O (0.9473, 0.7024, 0.0959)  1 Si 1.61


Question: Number 8 is which compound?
Answer: Li2VSi4O11


Question: What is the ΔE_f (raw) in the third record?
Answer: -2.69 eV/atom


Question: Which value of ΔE_f (raw) does entry 3 give?
Answer: -2.69 eV/atom